ErNiPb: optimized geometry, PBE.

Its energy of formation is -407.2 meV per atom.

The space group is Pnma (No. 62) and the conventional cell measures 7.1344, 4.5367 and 7.8145 Å, with angles of 90.00, 90.00 and 90.00 degrees. The distinct sites, in fractional coordinates, are Er at (0.0121, 0.2500, 0.2000), Ni at (0.2148, 0.7500, 0.4157) and Pb at (0.1878, 0.2500, 0.5865).